Crystalline CsLiSiP2 at its relaxed geometry. Source: Alexandria via LeMat-Bulk, functional PBE.

Structure (POSCAR):
```
CsLiSiP2
1.0
6.622 -1.914 0.000
6.622 1.914 0.000
-1.601 0.000 9.878
Cs Li Si P
2 2 2 4
direct
0.148 0.148 0.153
0.852 0.852 0.847
0.192 0.192 0.564
0.808 0.808 0.436
0.446 0.446 0.356
0.554 0.554 0.644
0.109 0.109 0.774
0.386 0.386 0.557
0.614 0.614 0.443
0.891 0.891 0.226
```

## Properties
- Calculated volume: 25.0 A^3/atom
- Space-group type: C2/m (12)
- Uncorrected formation energy: -0.456 eV/atom
- Density of states at the Fermi level: 0.1 states/eV per cell
- Magnetic moment: 0.0 Bohr magnetons per cell